a) # RbCaEu2 PBE optimized geometry
data_RbCaEu2
_chemical_formula_sum 'Rb3 Ca3 Eu6'
_cell_length_a 4.0164
_cell_length_b 4.0164
_cell_length_c 43.6919
_cell_angle_alpha 90.00
_cell_angle_beta 90.00
_cell_angle_gamma 120.00
_space_group_name_H-M_alt 'R -3 m'
_space_group_IT_number 166
_space_group_name_Hall '-R 3 2"'
loop_
_atom_site_label
_atom_site_fract_x
_atom_site_fract_y
_atom_site_fract_z
Rb1 0.0000 0.0000 0.0000
Ca1 0.0000 0.0000 0.5000
Eu1 0.0000 0.0000 0.0937
# volume: 50.9 Å³ per atom

=====

b) # RbCaEu2 PBE optimized geometry
data_RbCaEu2
_chemical_formula_sum 'Rb1 Ca1 Eu2'
_cell_length_a 4.070
_cell_length_b 4.070
_cell_length_c 12.653
_cell_angle_alpha 90.00
_cell_angle_beta 90.00
_cell_angle_gamma 90.00
_space_group_name_H-M_alt 'P 4/m m m'
_space_group_IT_number 123
_space_group_name_Hall '-P 4 2'
loop_
_atom_site_label
_atom_site_fract_x
_atom_site_fract_y
_atom_site_fract_z
Rb1 0.000 0.000 0.000
Ca1 0.000 0.000 0.500
Eu1 0.500 0.500 0.289
# volume: 52.4 Å³ per atom

=====

Of them, the most stable is b) and the least stable is a).